# LiPt2W

Crystalline LiPt2W at its relaxed geometry (GGA-PBE, the Alexandria database).

Values from the calculation:
- E_form (eV per atom) = -0.013

```
data_LiPt2W
_chemical_formula_sum 'Li1 Pt2 W1'
_symmetry_space_group_name_H-M 'P 1'
_symmetry_Int_Tables_number 1
_symmetry_space_group_name_Hall 'P 1'
_cell_length_a 4.368
_cell_length_b 4.368
_cell_length_c 4.368
_cell_angle_alpha 60.00
_cell_angle_beta 60.00
_cell_angle_gamma 60.00
loop_
_atom_site_label
_atom_site_type_symbol
_atom_site_fract_x
_atom_site_fract_y
_atom_site_fract_z
Pt1 Pt 0.750 0.750 0.750
Pt2 Pt 0.000 0.000 0.000
Li1 Li 0.500 0.500 0.500
W1 W 0.250 0.250 0.250
```